Entry 1:
## ScCoBPd (PBE)

Data for ScCoBPd after structural relaxation.

Symmetry = F-43m, No. 216
ΔE to the lowest computed polymorph = 0 meV per atom
Crystal system = cubic

Unit cell a=4.149 b=4.149 c=4.149 alpha=60.00 beta=60.00 gamma=60.00
Fractional positions:
B 0.000 0.000 0.000
Co 0.750 0.750 0.750
Pd 0.250 0.250 0.250
Sc 0.500 0.500 0.500


Entry 2:
## ScCoBPd (PBE)

Data for ScCoBPd after structural relaxation.

Symmetry = F-43m, No. 216
ΔE to the lowest computed polymorph = 151 meV per atom
Crystal system = cubic

Unit cell a=4.230 b=4.230 c=4.230 alpha=60.00 beta=60.00 gamma=60.00
Fractional positions:
B 0.000 0.000 0.000
Co 0.750 0.750 0.750
Pd 0.500 0.500 0.500
Sc 0.250 0.250 0.250


Entry 3:
## TaCoBPd (PBE)

Data for TaCoBPd after structural relaxation.

Symmetry = F-43m, No. 216
ΔE to the lowest computed polymorph = 0 meV per atom
Crystal system = cubic

Unit cell a=4.169 b=4.169 c=4.169 alpha=60.00 beta=60.00 gamma=60.00
Fractional positions:
B 0.000 0.000 0.000
Co 0.750 0.750 0.750
Pd 0.500 0.500 0.500
Ta 0.250 0.250 0.250


Entry 4:
## TaCoBPd (PBE)

Data for TaCoBPd after structural relaxation.

Symmetry = F-43m, No. 216
ΔE to the lowest computed polymorph = 34 meV per atom
Crystal system = cubic

Unit cell a=4.169 b=4.169 c=4.169 alpha=60.00 beta=60.00 gamma=60.00
Fractional positions:
B 0.000 0.000 0.000
Co 0.750 0.750 0.750
Pd 0.250 0.250 0.250
Ta 0.500 0.500 0.500


Entry 5:
## YCoBPd (PBE)

Data for YCoBPd after structural relaxation.

Symmetry = F-43m, No. 216
ΔE to the lowest computed polymorph = 10 meV per atom
Crystal system = cubic

Unit cell a=4.353 b=4.353 c=4.353 alpha=60.00 beta=60.00 gamma=60.00
Fractional positions:
B 0.000 0.000 0.000
Co 0.750 0.750 0.750
Pd 0.250 0.250 0.250
Y 0.500 0.500 0.500


Entry 6:
## YCoBPd (PBE)

Data for YCoBPd after structural relaxation.

Symmetry = F-43m, No. 216
ΔE to the lowest computed polymorph = 0 meV per atom
Crystal system = cubic

Unit cell a=4.410 b=4.410 c=4.410 alpha=60.00 beta=60.00 gamma=60.00
Fractional positions:
B 0.000 0.000 0.000
Co 0.750 0.750 0.750
Pd 0.500 0.500 0.500
Y 0.250 0.250 0.250


Entry 7:
## ZnCoBPd (PBE)

Data for ZnCoBPd after structural relaxation.

Symmetry = F-43m, No. 216
ΔE to the lowest computed polymorph = 266 meV per atom
Crystal system = cubic

Unit cell a=4.050 b=4.050 c=4.050 alpha=60.00 beta=60.00 gamma=60.00
Fractional positions:
B 0.000 0.000 0.000
Co 0.750 0.750 0.750
Pd 0.500 0.500 0.500
Zn 0.250 0.250 0.250


Entry 8:
## ZnCoBPd (PBE)

Data for ZnCoBPd after structural relaxation.

Symmetry = F-43m, No. 216
ΔE to the lowest computed polymorph = 0 meV per atom
Crystal system = cubic

Unit cell a=3.988 b=3.988 c=3.988 alpha=60.00 beta=60.00 gamma=60.00
Fractional positions:
B 0.000 0.000 0.000
Co 0.750 0.750 0.750
Pd 0.250 0.250 0.250
Zn 0.500 0.500 0.500


Entry 9:
## ZrCoBPd (PBE)

Data for ZrCoBPd after structural relaxation.

Symmetry = F-43m, No. 216
ΔE to the lowest computed polymorph = 20 meV per atom
Crystal system = cubic

Unit cell a=4.292 b=4.292 c=4.292 alpha=60.00 beta=60.00 gamma=60.00
Fractional positions:
B 0.000 0.000 0.000
Co 0.750 0.750 0.750
Pd 0.500 0.500 0.500
Zr 0.250 0.250 0.250


Entry 10:
## ZrCoBPd (PBE)

Data for ZrCoBPd after structural relaxation.

Symmetry = F-43m, No. 216
ΔE to the lowest computed polymorph = 0 meV per atom
Crystal system = cubic

Unit cell a=4.248 b=4.248 c=4.248 alpha=60.00 beta=60.00 gamma=60.00
Fractional positions:
B 0.000 0.000 0.000
Co 0.750 0.750 0.750
Pd 0.250 0.250 0.250
Zr 0.500 0.500 0.500


Entry 11:
## PmCoB4 (PBE)

Data for PmCoB4 after structural relaxation.

Symmetry = P6/mmm, No. 191
ΔE to the lowest computed polymorph = 0 meV per atom
Crystal system = hexagonal

Unit cell a=3.185 b=3.185 c=6.687 alpha=90.00 beta=90.00 gamma=120.00
Fractional positions:
B 0.667 0.333 0.190
B 0.333 0.667 0.190
B 0.667 0.333 0.810
B 0.333 0.667 0.810
Co 0.000 0.000 0.000
Pm 0.000 0.000 0.500


Entry 12:
## PmCoB4 (PBE)

Data for PmCoB4 after structural relaxation.

Symmetry = Immm, No. 71
ΔE to the lowest computed polymorph = 257 meV per atom
Crystal system = orthorhombic

Unit cell a=4.936 b=4.936 c=4.936 alpha=143.00 beta=114.48 gamma=77.70
Fractional positions:
B 0.584 0.251 0.333
B 0.082 0.749 0.333
B 0.918 0.251 0.667
B 0.416 0.749 0.667
Co 0.000 0.000 0.000
Pm 0.500 0.500 0.000


Entry 13:
## Pr5Co2B6 (PBE)

Data for Pr5Co2B6 after structural relaxation.

Symmetry = R-3m, No. 166
VASP energy = -83.3 eV per cell
Crystal system = trigonal

Unit cell a=5.487 b=5.487 c=8.908 alpha=107.94 beta=72.06 gamma=120.00
Fractional positions:
B 0.167 0.167 0.500
B 0.167 0.500 0.500
B 0.500 0.167 0.500
B 0.500 0.833 0.500
B 0.833 0.500 0.500
B 0.833 0.833 0.500
Co 0.876 0.124 0.372
Co 0.124 0.876 0.628
Pr 0.000 0.000 0.000
Pr 0.251 0.749 0.248
Pr 0.583 0.417 0.251
Pr 0.417 0.583 0.749
Pr 0.749 0.251 0.752


Entry 14:
## Pr2Co5B2 (PBE)

Data for Pr2Co5B2 after structural relaxation.

Symmetry = P6_3/mmc, No. 194
VASP energy = -243.0 eV per cell
Crystal system = hexagonal

Unit cell a=5.176 b=5.176 c=20.165 alpha=90.00 beta=90.00 gamma=120.00
Fractional positions:
B 0.667 0.333 0.175
B 0.000 0.000 0.178
B 0.000 0.000 0.322
B 0.667 0.333 0.325
B 0.333 0.667 0.675
B 0.000 0.000 0.678
B 0.000 0.000 0.822
B 0.333 0.667 0.825
Co 0.000 0.000 0.000
Co 0.321 0.161 0.108
Co 0.839 0.161 0.108
Co 0.839 0.679 0.108
Co 0.336 0.168 0.250
Co 0.832 0.168 0.250
Co 0.832 0.664 0.250
Co 0.839 0.679 0.392
Co 0.321 0.161 0.392
Co 0.839 0.161 0.392
Co 0.000 0.000 0.500
Co 0.161 0.839 0.608
Co 0.679 0.839 0.608
Co 0.161 0.321 0.608
Co 0.168 0.336 0.750
Co 0.168 0.832 0.750
Co 0.664 0.832 0.750
Co 0.161 0.321 0.892
Co 0.161 0.839 0.892
Co 0.679 0.839 0.892
Pr 0.333 0.667 0.022
Pr 0.333 0.667 0.175
Pr 0.333 0.667 0.325
Pr 0.333 0.667 0.478
Pr 0.667 0.333 0.522
Pr 0.667 0.333 0.675
Pr 0.667 0.333 0.825
Pr 0.667 0.333 0.978


Entry 15:
## PrCoB (PBE)

Data for PrCoB after structural relaxation.

Symmetry = F-43m, No. 216
ΔE to the lowest computed polymorph = 873 meV per atom
Crystal system = cubic

Unit cell a=4.395 b=4.395 c=4.395 alpha=60.00 beta=60.00 gamma=60.00
Fractional positions:
B 0.250 0.250 0.250
Co 0.750 0.750 0.750
Pr 0.000 0.000 0.000


Entry 16:
## Pr2Co14B (PBE)

Data for Pr2Co14B after structural relaxation.

Symmetry = P4_2/mnm, No. 136
VASP energy = -469.9 eV per cell
Crystal system = tetragonal

Unit cell a=8.609 b=8.609 c=11.893 alpha=90.00 beta=90.00 gamma=90.00
Fractional positions:
B 0.879 0.121 0.000
B 0.121 0.879 0.000
B 0.379 0.379 0.500
B 0.621 0.621 0.500
Co 0.500 0.000 0.000
Co 0.000 0.500 0.000
Co 0.000 0.000 0.116
Co 0.725 0.070 0.128
Co 0.930 0.275 0.128
Co 0.070 0.725 0.128
Co 0.275 0.930 0.128
Co 0.464 0.139 0.179
Co 0.139 0.464 0.179
Co 0.861 0.536 0.179
Co 0.536 0.861 0.179
Co 0.401 0.401 0.207
Co 0.599 0.599 0.207
Co 0.182 0.182 0.247
Co 0.818 0.818 0.247
Co 0.682 0.318 0.253
Co 0.318 0.682 0.253
Co 0.901 0.099 0.293
Co 0.099 0.901 0.293
Co 0.639 0.036 0.321
Co 0.964 0.361 0.321
Co 0.036 0.639 0.321
Co 0.361 0.964 0.321
Co 0.430 0.225 0.372
Co 0.225 0.430 0.372
Co 0.775 0.570 0.372
Co 0.570 0.775 0.372
Co 0.500 0.500 0.384
Co 0.500 0.000 0.500
Co 0.000 0.500 0.500
Co 0.500 0.500 0.616
Co 0.430 0.225 0.628
Co 0.225 0.430 0.628
Co 0.775 0.570 0.628
Co 0.570 0.775 0.628
Co 0.639 0.036 0.679
Co 0.964 0.361 0.679
Co 0.036 0.639 0.679
Co 0.361 0.964 0.679
Co 0.901 0.099 0.707
Co 0.099 0.901 0.707
Co 0.682 0.318 0.747
Co 0.318 0.682 0.747
Co 0.182 0.182 0.753
Co 0.818 0.818 0.753
Co 0.401 0.401 0.793
Co 0.599 0.599 0.793
Co 0.464 0.139 0.821
Co 0.139 0.464 0.821
Co 0.861 0.536 0.821
Co 0.536 0.861 0.821
Co 0.725 0.070 0.872
Co 0.930 0.275 0.872
Co 0.070 0.725 0.872
Co 0.275 0.930 0.872
Co 0.000 0.000 0.884
Pr 0.225 0.225 0.000
Pr 0.645 0.355 0.000
Pr 0.355 0.645 0.000
Pr 0.775 0.775 0.000
Pr 0.145 0.145 0.500
Pr 0.725 0.275 0.500
Pr 0.275 0.725 0.500
Pr 0.855 0.855 0.500


Entry 17:
## PrCoB (PBE)

Data for PrCoB after structural relaxation.

Symmetry = F-43m, No. 216
ΔE to the lowest computed polymorph = 0 meV per atom
Crystal system = cubic

Unit cell a=4.222 b=4.222 c=4.222 alpha=60.00 beta=60.00 gamma=60.00
Fractional positions:
B 0.000 0.000 0.000
Co 0.250 0.250 0.250
Pr 0.750 0.750 0.750


Entry 18:
## PrCo2B2 (PBE)

Data for PrCo2B2 after structural relaxation.

Symmetry = I4/mmm, No. 139
VASP energy = -34.7 eV per cell
Crystal system = tetragonal

Unit cell a=3.584 b=3.584 c=5.625 alpha=108.58 beta=108.58 gamma=90.00
Fractional positions:
B 0.663 0.663 0.327
B 0.337 0.337 0.673
Co 0.750 0.250 0.500
Co 0.250 0.750 0.500
Pr 0.000 0.000 0.000


Entry 19:
## Pr3Co11B4 (PBE)

Data for Pr3Co11B4 after structural relaxation.

Symmetry = P6/mmm, No. 191
VASP energy = -123.8 eV per cell
Crystal system = hexagonal

Unit cell a=5.148 b=5.148 c=9.717 alpha=90.00 beta=90.00 gamma=120.00
Fractional positions:
B 0.333 0.667 0.350
B 0.667 0.333 0.350
B 0.667 0.333 0.650
B 0.333 0.667 0.650
Co 0.667 0.333 0.000
Co 0.333 0.667 0.000
Co 0.500 0.000 0.204
Co 0.000 0.500 0.204
Co 0.500 0.500 0.204
Co 0.500 0.500 0.500
Co 0.000 0.500 0.500
Co 0.500 0.000 0.500
Co 0.500 0.500 0.796
Co 0.000 0.500 0.796
Co 0.500 0.000 0.796
Pr 0.000 0.000 0.000
Pr 0.000 0.000 0.341
Pr 0.000 0.000 0.659


Entry 20:
## PrCo2B2 (PBE)

Data for PrCo2B2 after structural relaxation.

Symmetry = I4/mmm, No. 139
VASP energy = -69.4 eV per cell
Crystal system = tetragonal

Unit cell a=3.583 b=3.583 c=10.070 alpha=90.00 beta=90.00 gamma=90.00
Fractional positions:
B 0.250 0.750 0.086
B 0.250 0.750 0.414
B 0.750 0.250 0.586
B 0.750 0.250 0.914
Co 0.250 0.250 0.000
Co 0.750 0.750 0.000
Co 0.250 0.250 0.500
Co 0.750 0.750 0.500
Pr 0.750 0.250 0.250
Pr 0.250 0.750 0.750